VASP calculation (PBE+U) on a relaxed structure of Na13Ni11O24.

## Properties
V = 492.9 Å³ per cell
E = -216.283 eV per cell
space group = P-1
DOS(E_F) = 0.0289 states/eV per atom

Unit cell a=8.1360 b=8.1766 c=9.0920 alpha=106.91 beta=103.08 gamma=112.71
Last column: nearest neighbours and their distance in Å.
Positions (direct):
Na 0.0000 0.0000 0.0000  6 O 2.19-2.26
Na 0.0799 0.7085 0.1243  6 O 2.30-2.41
Na 0.0855 0.2107 0.6185  6 O 2.23-2.49
Na 0.2481 0.1255 0.3729  5 O 2.27-2.51
Na 0.2531 0.6225 0.8717  6 O 2.23-2.42
Na 0.4112 0.0341 0.1239  6 O 2.29-2.47
Na 0.4134 0.5382 0.6231  6 O 2.25-2.41
Na 0.5866 0.4618 0.3769  6 O 2.25-2.41
Na 0.5888 0.9659 0.8761  6 O 2.29-2.47
Na 0.7469 0.3775 0.1283  6 O 2.23-2.42
Na 0.7519 0.8745 0.6271  5 O 2.27-2.51
Na 0.9145 0.7893 0.3815  6 O 2.23-2.49
Na 0.9201 0.2915 0.8757  6 O 2.30-2.41
Ni 0.0000 0.5000 0.5000  6 O 1.92-2.13
Ni 0.1642 0.4170 0.2523  6 O 1.92-1.97
Ni 0.1722 0.9205 0.7501  6 O 1.95-2.17
Ni 0.3330 0.8355 0.5001  5 O 1.92-2.15
Ni 0.3372 0.3360 0.0020  6 O 1.91-1.96
Ni 0.4941 0.7502 0.2471  6 O 2.06-2.13
Ni 0.5059 0.2498 0.7529  6 O 2.06-2.13
Ni 0.6628 0.6640 0.9980  6 O 1.91-1.96
Ni 0.6670 0.1645 0.4999  5 O 1.92-2.15
Ni 0.8278 0.0795 0.2499  6 O 1.95-2.17
Ni 0.8358 0.5830 0.7477  6 O 1.92-1.97
O 0.0575 0.5843 0.3334  2 Ni 1.92-1.95
O 0.0954 0.7936 0.8943  2 Ni 1.95-1.96
O 0.0975 0.1212 0.8287  2 Ni 1.93-1.96
O 0.1092 0.3265 0.4177  2 Ni 1.92-2.00
O 0.2240 0.4990 0.0813  3 Ni 1.95-2.13
O 0.2345 0.0103 0.5832  3 Ni 1.95-2.11
O 0.2725 0.7477 0.6660  3 Ni 1.93-2.13
O 0.2875 0.2659 0.1777  2 Ni 1.92-1.94
O 0.3835 0.9283 0.3352  3 Ni 1.92-2.15
O 0.4083 0.4405 0.8475  3 Ni 1.93-2.07
O 0.4147 0.6435 0.4138  3 Ni 1.96-2.06
O 0.4382 0.1649 0.9336  3 Ni 1.91-2.13
O 0.5618 0.8351 0.0664  3 Ni 1.91-2.13
O 0.5853 0.3565 0.5862  3 Ni 1.96-2.06
O 0.5917 0.5595 0.1525  3 Ni 1.93-2.07
O 0.6165 0.0717 0.6648  3 Ni 1.92-2.15
O 0.7125 0.7341 0.8223  2 Ni 1.92-1.94
O 0.7275 0.2523 0.3340  3 Ni 1.93-2.13
O 0.7655 0.9897 0.4168  3 Ni 1.95-2.11
O 0.7760 0.5010 0.9187  3 Ni 1.95-2.13
O 0.8908 0.6735 0.5823  2 Ni 1.92-2.00
O 0.9025 0.8788 0.1713  2 Ni 1.93-1.96
O 0.9046 0.2064 0.1057  2 Ni 1.95-1.96
O 0.9425 0.4157 0.6666  2 Ni 1.92-1.95